TaSe2Br8 (GGA-PBE, relaxed); size of the total moment = 0.000 μB per cell; V = 482.0 Å³/cell; E_form (uncorrected) = -3.54 eV/f.u.
1.0
7.5082 0.0000 0.0000
-2.8769 8.0555 0.0000
-2.7708 -1.5205 7.9688
Ta Se Br
1 2 8
Cartesian
0.0000 0.0000 0.0000
-3.3474 5.7349 6.9636
5.2079 0.8001 1.0052
-3.2179 4.1144 5.0124
-1.2764 -0.1173 5.9571
-1.3245 5.8514 0.9906
1.1718 1.4040 1.6643
0.6887 5.1310 6.3045
3.1850 0.6836 6.9782
3.1369 6.6523 2.0117
5.0784 2.4206 2.9564


Na2CaCeBr8 (GGA-PBE, relaxed); size of the total moment = 0.000 μB per cell; V = 422.2 Å³/cell; E_form (uncorrected) = -19.89 eV/f.u.
1.0
6.7979 0.0000 0.0000
0.0000 8.7710 0.0000
-0.5006 0.0000 7.0805
Na Ca Ce Br
2 1 1 8
Cartesian
0.0000 2.0660 0.0000
0.0000 6.7050 0.0000
3.1487 0.0000 3.5403
3.1487 4.3855 3.5403
1.5382 0.0000 1.2429
1.5444 4.3855 1.2554
1.5713 2.3192 4.6332
1.5713 6.4517 4.6332
4.7260 2.3192 2.4473
4.7260 6.4517 2.4473
4.7529 4.3855 5.8251
4.7591 0.0000 5.8376


Li2CeSc3Se6 (GGA-PBE, relaxed); size of the total moment = 1.262 μB per cell; V = 262.0 Å³/cell; E_form (uncorrected) = -19.54 eV/f.u.
1.0
3.3894 -5.8699 0.0000
3.3894 5.8699 0.0000
-2.2851 0.0000 6.5840
Li Ce Sc Se
2 1 3 6
Cartesian
3.3894 3.8957 0.0000
3.3894 -3.8957 0.0000
3.3894 0.0000 0.0000
-1.1425 0.0000 3.2920
2.2469 1.9323 3.2920
2.2469 -1.9323 3.2920
-0.0548 2.0237 4.8640
1.0436 0.0000 1.7150
-0.0548 -2.0237 4.8640
4.5485 2.0237 1.7201
3.4502 0.0000 4.8690
4.5485 -2.0237 1.7201


Cs2CdCo (GGA-PBE, relaxed); size of the total moment = 5.907 μB per cell; V = 726.2 Å³/cell; calculated formation energy = 0.776 eV/atom
1.0
8.9884 0.0000 0.0000
0.0000 8.9884 0.0000
0.0000 0.0000 8.9884
Cs Cd Co
8 4 4
Cartesian
2.2471 2.2471 2.2471
2.2471 2.2471 6.7413
2.2471 6.7413 2.2471
2.2471 6.7413 6.7413
6.7413 2.2471 2.2471
6.7413 2.2471 6.7413
6.7413 6.7413 2.2471
6.7413 6.7413 6.7413
0.0000 0.0000 0.0000
0.0000 4.4942 4.4942
4.4942 0.0000 4.4942
4.4942 4.4942 0.0000
0.0000 0.0000 4.4942
0.0000 4.4942 0.0000
4.4942 0.0000 0.0000
4.4942 4.4942 4.4942


Pr6Os2SBr3 (GGA-PBE, relaxed); size of the total moment = 0.000 μB per cell; V = 355.4 Å³/cell; E_form (uncorrected) = -12.29 eV/f.u.
1.0
3.6411 -6.3049 0.0000
3.6411 6.3049 0.0000
-2.4218 0.0000 7.7406
Pr Os S Br
6 2 1 3
Cartesian
-0.0419 2.1883 6.2040
1.1118 0.0000 1.5334
-0.0419 -2.1883 6.2040
4.9023 2.1883 1.5367
3.7486 0.0000 6.2073
4.9023 -2.1883 1.5367
3.6411 4.2012 0.0000
3.6411 -4.2012 0.0000
3.6411 0.0000 0.0000
-1.2109 0.0000 3.8703
2.4302 2.0839 3.8703
2.4302 -2.0839 3.8703


UTaPt6 (GGA-PBE, relaxed); size of the total moment = 2.848 μB per cell; V = 136.7 Å³/cell; calculated formation energy = -0.618 eV/atom
1.0
4.0796 0.0000 0.0000
0.0000 4.0796 0.0000
0.0000 0.0000 8.2134
U Ta Pt
1 1 6
Cartesian
0.0000 0.0000 0.0000
0.0000 0.0000 4.1067
0.0000 2.0398 2.1868
0.0000 2.0398 6.0266
2.0398 0.0000 2.1868
2.0398 0.0000 6.0266
2.0398 2.0398 0.0000
2.0398 2.0398 4.1067


AcNd8Dy2 (GGA-PBE, relaxed); distance to the lowest polymorph of the same formula = 2 meV/atom; size of the total moment = 0.000 μB per cell; V = 404.7 Å³/cell; calculated formation energy = 0.121 eV/atom
1.0
9.9081 -3.5986 0.0000
9.9081 3.5986 0.0000
-0.3646 0.0000 5.6754
Ac Nd Dy
1 8 2
Cartesian
0.0000 0.0000 0.0000
7.1226 1.6515 1.5393
3.6715 0.0000 1.3240
12.3290 1.6515 4.1361
8.7451 0.0000 4.3049
10.7065 0.0000 1.3705
7.1226 -1.6515 1.5393
15.7801 0.0000 4.3514
12.3290 -1.6515 4.1361
5.3753 0.0000 4.2572
14.0764 0.0000 1.4182


ErPH (GGA-PBE, relaxed); distance to the lowest polymorph of the same formula = 127 meV/atom; size of the total moment = 0.000 μB per cell; V = 45.7 Å³/cell
1.0
3.6432 0.0000 0.0000
-1.8216 3.1551 0.0000
0.0000 0.0000 3.9767
Er P H
1 1 1
Cartesian
0.0000 0.0000 0.0000
1.8216 1.0517 1.9884
0.0000 2.1034 0.0000